# 1
## GdZn4Bi (PBE-GGA)

Data for crystalline GdZn4Bi at its relaxed geometry.

a = 5.574 Å, b = 5.574 Å, c = 5.574 Å
α = 60.00°, β = 60.00°, γ = 60.00°
Site moments in Bohr magnetons follow the coordinates.
Positions (direct):
Zn  0.624  0.624  0.127  -0.01
Zn  0.624  0.127  0.624  -0.01
Zn  0.624  0.624  0.624  -0.01
Zn  0.127  0.624  0.624  -0.01
Gd  0.250  0.250  0.250  7.05
Bi  0.000  0.000  0.000  -0.02

## Properties
ΔE_f (eV per atom): -0.131
Space-group type: No. 216
Total moment (μB per formula unit): 7.17

---

# 2
## Gd2TlCd (PBE-GGA)

Data for crystalline Gd2TlCd at its relaxed geometry.

a = 5.369 Å, b = 5.369 Å, c = 5.369 Å
α = 60.00°, β = 60.00°, γ = 60.00°
Site moments in Bohr magnetons follow the coordinates.
Positions (direct):
Gd  0.750  0.750  0.750  7.22
Gd  0.250  0.250  0.250  7.22
Tl  0.000  0.000  0.000  -0.02
Cd  0.500  0.500  0.500  0.01

## Properties
ΔE_f (eV per atom): -0.389
Space-group type: No. 225
Total moment (μB per formula unit): 15.06

---

# 3
## ZrV3Tc (PBE-GGA)

Data for crystalline ZrV3Tc at its relaxed geometry.

a = 4.559 Å, b = 4.559 Å, c = 4.559 Å
α = 90.00°, β = 90.00°, γ = 90.00°
Site moments in Bohr magnetons follow the coordinates.
Positions (direct):
Tc  0.500  0.500  0.500  -1.86
Zr  0.000  0.000  0.000  -0.02
V  0.000  0.500  0.000  1.31
V  0.000  0.000  0.500  1.31
V  0.500  0.000  0.000  1.31

## Properties
ΔE_f (eV per atom): 1.862
Space-group type: No. 221
Total moment (μB per formula unit): 2.45

---

# 4
## La2Y6ErTm3 (PBE-GGA)

Data for crystalline La2Y6ErTm3 at its relaxed geometry.

a = 6.198 Å, b = 6.198 Å, c = 11.838 Å
α = 95.00°, β = 95.00°, γ = 119.98°
Positions (direct):
La  0.333  0.667  0.000
La  0.667  0.333  0.000
Y  0.915  0.583  0.745
Y  0.754  0.754  0.255
Y  0.085  0.417  0.255
Y  0.583  0.915  0.745
Y  0.246  0.246  0.745
Y  0.417  0.085  0.255
Er  0.000  0.000  0.000
Tm  0.166  0.834  0.500
Tm  0.834  0.166  0.500
Tm  0.500  0.500  0.500

## Properties
ΔE_f (eV per atom): 0.028
Space-group type: No. 12
Total moment (μB per formula unit): 0.00

---

# 5
## MgNiMoOs2 (PBE-GGA)

Data for crystalline MgNiMoOs2 at its relaxed geometry.

a = 4.461 Å, b = 4.040 Å, c = 4.461 Å
α = 90.00°, β = 90.00°, γ = 90.00°
Positions (direct):
Ni  0.000  0.500  0.000
Mo  0.500  0.500  0.500
Os  0.000  0.000  0.500
Os  0.500  0.000  0.000
Mg  0.000  0.000  0.000

## Properties
ΔE_f (eV per atom): 1.893
Space-group type: No. 123
Total moment (μB per formula unit): 0.00

---

# 6
## LiTa2Se (PBE-GGA)

Data for crystalline LiTa2Se at its relaxed geometry.

a = 4.658 Å, b = 4.658 Å, c = 3.086 Å
α = 90.00°, β = 90.00°, γ = 105.26°
Positions (direct):
Li  0.500  0.000  0.500
Se  0.000  0.500  0.500
Ta  0.000  0.000  0.000
Ta  0.500  0.500  0.000

## Properties
Space-group type: No. 65
Formation energy without anion corrections (meV/atom): 248.0
Total moment (μB per formula unit): 0.00

---

# 7
## LiSi2Ru (PBE-GGA)

Data for crystalline LiSi2Ru at its relaxed geometry.

a = 4.610 Å, b = 4.610 Å, c = 4.610 Å
α = 133.91°, β = 133.95°, γ = 67.20°
Positions (direct):
Li  0.500  0.500  0.000
Ru  0.250  0.750  0.500
Si  0.000  0.000  0.000
Si  0.750  0.250  0.500

## Properties
Space-group type: No. 119
Formation energy without anion corrections (meV/atom): -267.7
Total moment (μB per formula unit): 0.00

---

# 8
## Tb6Pm2Sm3Pu (PBE-GGA)

Data for crystalline Tb6Pm2Sm3Pu at its relaxed geometry.

a = 6.213 Å, b = 6.213 Å, c = 11.810 Å
α = 95.05°, β = 95.05°, γ = 120.06°
Site moments in Bohr magnetons follow the coordinates.
Positions (direct):
Tb  0.918  0.589  0.752  0.04
Tb  0.753  0.753  0.248  0.04
Tb  0.082  0.411  0.248  0.04
Tb  0.589  0.918  0.752  0.04
Tb  0.247  0.247  0.752  0.04
Tb  0.411  0.082  0.248  0.04
Pm  0.333  0.667  0.000  0.04
Pm  0.667  0.333  0.000  0.04
Sm  0.167  0.833  0.500  -0.01
Sm  0.833  0.167  0.500  -0.01
Sm  0.500  0.500  0.500  -0.02
Pu  0.000  0.000  0.000  5.58

## Properties
ΔE_f (eV per atom): 0.045
Space-group type: No. 12
Total moment (μB per formula unit): 6.46